Li2Dy: relaxed, PBE.

Values from the calculation:
- Calculated volume: 22.878 Å³/atom
- Total DFT energy (no corrections): -7.88 eV/cell

a b c (Å): 4.9344 4.9344 3.2549
angles (deg): 90.00 90.00 120.00
Space group P6/mmm (No. 191)
Asymmetric unit:
Li (0.3333, 0.6667, 0.0000)
Dy (0.0000, 0.0000, 0.5000)

RbAg3PtO4: relaxed, PBE.

Values from the calculation:
- Calculated volume: 19.916 Å³/atom
- Total DFT energy (no corrections): -35.24 eV/cell

a b c (Å): 5.638 5.638 5.638
angles (deg): 90.00 90.00 90.00
Space group P-43m (No. 215)
Asymmetric unit:
Rb (0.000, 0.000, 0.000)
Ag (0.000, 0.500, 0.500)
Pt (0.500, 0.500, 0.500)
O (0.287, 0.287, 0.287)

Cu7Hg6: relaxed, PBE.

Values from the calculation:
- Calculated volume: 16.615 Å³/atom
- Total DFT energy (no corrections): -157.61 eV/cell

a b c (Å): 13.5382 13.5382 8.1648
angles (deg): 90.00 90.00 120.00
Space group R3m (No. 160, hexagonal axes)
Asymmetric unit:
Cu (0.0000, 0.0000, 0.0000)
Cu (0.0000, 0.0000, 0.5000)
Cu (0.0650, 0.1300, 0.2576)
Cu (0.1061, 0.2122, 0.5669)
Cu (0.1304, 0.0652, 0.7417)
Cu (0.2118, 0.1059, 0.4336)
Hg (0.0011, 0.3895, 0.9972)
Hg (0.0968, 0.5484, 0.6010)
Hg (0.2154, 0.4308, 0.7275)

SrIrNO2: relaxed, PBE.

Values from the calculation:
- Calculated volume: 12.898 Å³/atom
- Total DFT energy (no corrections): -408.45 eV/cell

a b c (Å): 5.732 9.537 14.157
angles (deg): 90.00 90.06 90.00
Space group Cc (No. 9)
Asymmetric unit:
Sr (0.000, 0.011, 0.000)
Sr (0.001, 0.341, 0.859)
Sr (0.004, 0.341, 0.142)
Ir (0.008, 0.001, 0.750)
Ir (0.013, 0.316, 0.402)
Ir (0.015, 0.317, 0.597)
N (0.003, 0.173, 0.313)
N (0.005, 0.174, 0.688)
N (0.234, 0.249, 0.500)
O (0.229, 0.070, 0.852)
O (0.234, 0.067, 0.149)
O (0.241, 0.449, 0.343)
O (0.249, 0.449, 0.653)
O (0.281, 0.272, 0.000)
O (0.493, 0.023, 0.000)

Tb3ZrSi4: relaxed, PBE.

Values from the calculation:
- Calculated volume: 20.783 Å³/atom
- Total DFT energy (no corrections): -50.68 eV/cell

a b c (Å): 5.628 3.814 7.747
angles (deg): 90.00 90.95 90.00
Space group Pm (No. 6)
Asymmetric unit:
Tb (0.000, 0.000, 0.000)
Tb (0.240, 0.500, 0.360)
Tb (0.505, 0.500, 0.856)
Zr (0.738, 0.000, 0.498)
Si (0.250, 0.000, 0.638)
Si (0.496, 0.000, 0.147)
Si (0.754, 0.500, 0.229)
Si (0.982, 0.500, 0.708)

PrBeFe: relaxed, PBE.

Values from the calculation:
- Calculated volume: 18.178 Å³/atom
- Total DFT energy (no corrections): -59.48 eV/cell

a b c (Å): 6.020 6.020 6.020
angles (deg): 90.00 90.00 90.00
Space group F-43m (No. 216)
Asymmetric unit:
Pr (0.000, 0.000, 0.000)
Be (0.250, 0.250, 0.750)
Fe (0.000, 0.000, 0.500)